[1]
# Te6RhBr3 PBEsol relaxed
data_Te6RhBr3
_chemical_formula_sum 'Te36 Rh6 Br18'
_symmetry_space_group_name_H-M 'R -3 c'
_symmetry_Int_Tables_number 167
_symmetry_space_group_name_Hall '-R 3 2"c'
_cell_length_a 15.4514
_cell_length_b 15.4514
_cell_length_c 9.9986
_cell_angle_alpha 90.00
_cell_angle_beta 90.00
_cell_angle_gamma 120.00
loop_
_atom_site_label
_atom_site_fract_x
_atom_site_fract_y
_atom_site_fract_z
_atom_site_occupancy
Te1 0.0752 0.1659 0.0950 1
Rh1 0.0000 0.0000 0.2500 1
Br1 0.0000 0.2627 0.7500 1
# - Energy relative to the elements, uncorrected: -3.091 eV/f.u.
# - Magnetization: 0.0 μB/f.u.
# - ρ: 5.3 g cm⁻³


[2]
# LiZrFe2 PBEsol relaxed
data_LiZrFe2
_chemical_formula_sum 'Li3 Zr3 Fe6'
_symmetry_space_group_name_H-M 'R -3 m'
_symmetry_Int_Tables_number 166
_symmetry_space_group_name_Hall '-R 3 2"'
_cell_length_a 2.7087
_cell_length_b 2.7087
_cell_length_c 27.7802
_cell_angle_alpha 90.00
_cell_angle_beta 90.00
_cell_angle_gamma 120.00
loop_
_atom_site_label
_atom_site_fract_x
_atom_site_fract_y
_atom_site_fract_z
_atom_site_occupancy
Li1 0.0000 0.0000 0.0000 1
Zr1 0.0000 0.0000 0.5000 1
Fe1 0.0000 0.0000 0.2535 1
# - Magnetization: 4.5 μB/f.u.
# - ρ: 5.9 g cm⁻³
# - E_form: 0.4931 eV/atom


[3]
# ZrTl2Tc PBEsol relaxed
data_ZrTl2Tc
_chemical_formula_sum 'Zr1 Tl2 Tc1'
_symmetry_space_group_name_H-M 'P m m m'
_symmetry_Int_Tables_number 47
_cell_length_a 3.2014
_cell_length_b 4.0902
_cell_length_c 5.9759
_cell_angle_alpha 90.00
_cell_angle_beta 90.00
_cell_angle_gamma 90.00
loop_
_symmetry_equiv_pos_as_xyz
'x,y,z'
'-x,-y,-z'
'-x,-y,z'
'x,y,-z'
'x,-y,-z'
'-x,y,z'
'-x,y,-z'
'x,-y,z'
loop_
_atom_site_label
_atom_site_fract_x
_atom_site_fract_y
_atom_site_fract_z
_atom_site_occupancy
Zr1 0.0000 0.0000 0.0000 1
Tl1 0.5000 0.5000 0.2643 1
Tc1 0.0000 0.0000 0.5000 1
# - Magnetization: 0.0 μB/f.u.
# - ρ: 12.7 g cm⁻³
# - E_form: 0.3768 eV/atom


[4]
# PmHoTl2 PBEsol relaxed
data_PmHoTl2
_chemical_formula_sum 'Pm4 Ho4 Tl8'
_symmetry_space_group_name_H-M 'F m -3 m'
_symmetry_Int_Tables_number 225
_symmetry_space_group_name_Hall '-F 4 2 3'
_cell_length_a 7.5161
_cell_length_b 7.5161
_cell_length_c 7.5161
_cell_angle_alpha 90.00
_cell_angle_beta 90.00
_cell_angle_gamma 90.00
loop_
_atom_site_label
_atom_site_fract_x
_atom_site_fract_y
_atom_site_fract_z
_atom_site_occupancy
Pm1 0.0000 0.0000 0.0000 1
Ho1 0.0000 0.0000 0.5000 1
Tl1 0.2500 0.2500 0.2500 1
# - Magnetization: 0.0 μB/f.u.
# - ρ: 11.2 g cm⁻³
# - E_form: -0.4274 eV/atom


[5]
# LiTa2Br PBEsol relaxed
data_LiTa2Br
_chemical_formula_sum 'Li2 Ta4 Br2'
_symmetry_space_group_name_H-M 'I -4 m 2'
_symmetry_Int_Tables_number 119
_symmetry_space_group_name_Hall 'I -4 -2'
_cell_length_a 3.9651
_cell_length_b 3.9651
_cell_length_c 8.5148
_cell_angle_alpha 90.00
_cell_angle_beta 90.00
_cell_angle_gamma 90.00
loop_
_atom_site_label
_atom_site_fract_x
_atom_site_fract_y
_atom_site_fract_z
_atom_site_occupancy
Li1 0.0000 0.0000 0.0000 1
Ta1 0.0000 0.0000 0.5000 1
Ta2 0.0000 0.5000 0.2500 1
Br1 0.0000 0.5000 0.7500 1
# - Energy relative to the elements, uncorrected: 3.152 eV/f.u.
# - Magnetization: 0.0 μB/f.u.
# - ρ: 11.1 g cm⁻³


[6]
# Cd2CoSbF PBEsol relaxed
data_Cd2CoSbF
_chemical_formula_sum 'Cd2 Co1 Sb1 F1'
_symmetry_space_group_name_H-M 'P 4/m m m'
_symmetry_Int_Tables_number 123
_symmetry_space_group_name_Hall '-P 4 2'
_cell_length_a 4.5057
_cell_length_b 4.5057
_cell_length_c 4.7906
_cell_angle_alpha 90.00
_cell_angle_beta 90.00
_cell_angle_gamma 90.00
loop_
_atom_site_label
_atom_site_fract_x
_atom_site_fract_y
_atom_site_fract_z
_atom_site_occupancy
Cd1 0.0000 0.5000 0.0000 1
Co1 0.0000 0.0000 0.5000 1
Sb1 0.5000 0.5000 0.5000 1
F1 0.5000 0.5000 0.0000 1
# - Energy relative to the elements, uncorrected: 1.154 eV/f.u.
# - Magnetization: 1.6 μB/f.u.
# - ρ: 7.2 g cm⁻³


[7]
# SiAgAs2 PBEsol relaxed
data_SiAgAs2
_chemical_formula_sum 'Si2 Ag2 As4'
_symmetry_space_group_name_H-M 'I m m m'
_symmetry_Int_Tables_number 71
_symmetry_space_group_name_Hall '-I 2 2'
_cell_length_a 3.4903
_cell_length_b 4.0697
_cell_length_c 10.3634
_cell_angle_alpha 90.00
_cell_angle_beta 90.00
_cell_angle_gamma 90.00
loop_
_atom_site_label
_atom_site_fract_x
_atom_site_fract_y
_atom_site_fract_z
_atom_site_occupancy
Si1 0.0000 0.0000 0.0000 1
Ag1 0.0000 0.0000 0.5000 1
As1 0.0000 0.5000 0.3214 1
# - Energy relative to the elements, uncorrected: 1.008 eV/f.u.
# - Magnetization: 0.0 μB/f.u.
# - ρ: 6.4 g cm⁻³


[8]
# ZnAsIr2 PBEsol relaxed
data_ZnAsIr2
_chemical_formula_sum 'Zn3 As3 Ir6'
_symmetry_space_group_name_H-M 'R -3 m'
_symmetry_Int_Tables_number 166
_symmetry_space_group_name_Hall '-R 3 2"'
_cell_length_a 2.8489
_cell_length_b 2.8489
_cell_length_c 24.4932
_cell_angle_alpha 90.00
_cell_angle_beta 90.00
_cell_angle_gamma 120.00
loop_
_atom_site_label
_atom_site_fract_x
_atom_site_fract_y
_atom_site_fract_z
_atom_site_occupancy
Zn1 0.0000 0.0000 0.0000 1
As1 0.0000 0.0000 0.5000 1
Ir1 0.0000 0.0000 0.2482 1
# - Magnetization: 0.0 μB/f.u.
# - ρ: 15.2 g cm⁻³
# - E_form: 0.0053 eV/atom


[9]
# AgSbAsI2 PBEsol relaxed
data_AgSbAsI2
_chemical_formula_sum 'Ag1 Sb1 As1 I2'
_symmetry_space_group_name_H-M 'P 4/m m m'
_symmetry_Int_Tables_number 123
_symmetry_space_group_name_Hall '-P 4 2'
_cell_length_a 5.5573
_cell_length_b 5.5573
_cell_length_c 5.4336
_cell_angle_alpha 90.00
_cell_angle_beta 90.00
_cell_angle_gamma 90.00
loop_
_atom_site_label
_atom_site_fract_x
_atom_site_fract_y
_atom_site_fract_z
_atom_site_occupancy
Ag1 0.0000 0.0000 0.0000 1
Sb1 0.5000 0.5000 0.0000 1
As1 0.5000 0.5000 0.5000 1
I1 0.0000 0.5000 0.5000 1
# - Energy relative to the elements, uncorrected: 3.133 eV/f.u.
# - Magnetization: 0.5 μB/f.u.
# - ρ: 5.5 g cm⁻³


[10]
# SbAuS2 PBEsol relaxed
data_SbAuS2
_chemical_formula_sum 'Sb3 Au3 S6'
_symmetry_space_group_name_H-M 'R -3 m'
_symmetry_Int_Tables_number 166
_symmetry_space_group_name_Hall '-R 3 2"'
_cell_length_a 4.0532
_cell_length_b 4.0532
_cell_length_c 22.0386
_cell_angle_alpha 90.00
_cell_angle_beta 90.00
_cell_angle_gamma 120.00
loop_
_atom_site_label
_atom_site_fract_x
_atom_site_fract_y
_atom_site_fract_z
_atom_site_occupancy
Sb1 0.0000 0.0000 0.0000 1
Au1 0.0000 0.0000 0.5000 1
S1 0.0000 0.0000 0.3979 1
# - Energy relative to the elements, uncorrected: -0.335 eV/f.u.
# - Magnetization: 0.0 μB/f.u.
# - ρ: 6.1 g cm⁻³


[11]
# AlFeAg2 PBEsol relaxed
data_AlFeAg2
_chemical_formula_sum 'Al1 Fe1 Ag2'
_symmetry_space_group_name_H-M 'P 4/m m m'
_symmetry_Int_Tables_number 123
_symmetry_space_group_name_Hall '-P 4 2'
_cell_length_a 3.8274
_cell_length_b 3.8274
_cell_length_c 4.0053
_cell_angle_alpha 90.00
_cell_angle_beta 90.00
_cell_angle_gamma 90.00
loop_
_atom_site_label
_atom_site_fract_x
_atom_site_fract_y
_atom_site_fract_z
_atom_site_occupancy
Al1 0.0000 0.0000 0.0000 1
Fe1 0.5000 0.5000 0.0000 1
Ag1 0.0000 0.5000 0.5000 1
# - Magnetization: 2.1 μB/f.u.
# - ρ: 8.4 g cm⁻³
# - E_form: 0.1122 eV/atom


[12]
# LiBe2Cd PBEsol relaxed
data_LiBe2Cd
_chemical_formula_sum 'Li1 Be2 Cd1'
_symmetry_space_group_name_H-M 'P 4/m m m'
_symmetry_Int_Tables_number 123
_symmetry_space_group_name_Hall '-P 4 2'
_cell_length_a 3.5741
_cell_length_b 3.5741
_cell_length_c 3.8420
_cell_angle_alpha 90.00
_cell_angle_beta 90.00
_cell_angle_gamma 90.00
loop_
_atom_site_label
_atom_site_fract_x
_atom_site_fract_y
_atom_site_fract_z
_atom_site_occupancy
Li1 0.0000 0.0000 0.0000 1
Be1 0.0000 0.5000 0.5000 1
Cd1 0.5000 0.5000 0.0000 1
# - Magnetization: 0.0 μB/f.u.
# - ρ: 4.6 g cm⁻³
# - E_form: 0.2497 eV/atom


[13]
# CoSbPb4 PBEsol relaxed
data_CoSbPb4
_chemical_formula_sum 'Co4 Sb4 Pb16'
_symmetry_space_group_name_H-M 'F -4 3 m'
_symmetry_Int_Tables_number 216
_symmetry_space_group_name_Hall 'F -4 2 3'
_cell_length_a 8.8151
_cell_length_b 8.8151
_cell_length_c 8.8151
_cell_angle_alpha 90.00
_cell_angle_beta 90.00
_cell_angle_gamma 90.00
loop_
_atom_site_label
_atom_site_fract_x
_atom_site_fract_y
_atom_site_fract_z
_atom_site_occupancy
Co1 0.0000 0.0000 0.0000 1
Sb1 0.2500 0.2500 0.7500 1
Pb1 0.1255 0.1255 0.3745 1
# - Energy relative to the elements, uncorrected: 4.799 eV/f.u.
# - Magnetization: 1.9 μB/f.u.
# - ρ: 9.8 g cm⁻³